Compound: La2CeIr2
Source: Alexandria
Functional: PBE
Structure: optimized geometry

## Properties
- Density of states at the Fermi level: 1.1432 states/eV/atom
- Electronic total energy: -7.357 eV/atom
- Energy relative to the elements: -0.655 eV/atom

a b c (Å): 4.006 7.029 10.378
angles (deg): 90.00 90.00 106.56
Last column: magnetic moment on the atom in μB.
Sites, in units of the cell vectors:
La (0.898, 0.795, 0.151)  0.01
La (0.359, 0.717, 0.839)  0.01
La (0.102, 0.205, 0.651)  0.01
La (0.641, 0.283, 0.339)  0.01
Ce (0.637, 0.274, 0.982)  0.23
Ce (0.363, 0.726, 0.482)  0.23
Ir (0.244, 0.489, 0.107)  -0.01
Ir (0.006, 0.013, 0.907)  -0.01
Ir (0.756, 0.511, 0.607)  -0.01
Ir (0.994, 0.987, 0.407)  -0.01


Compound: Sr2TiPd
Source: Alexandria
Functional: PBE
Structure: optimized geometry

## Properties
- Density of states at the Fermi level: 2.1600 states/eV/atom
- Energy relative to the lowest polymorph listed for this composition: 234.1 meV/atom
- Electronic total energy: -3.655 eV/atom
- Energy relative to the elements: 0.458 eV/atom

a b c (Å): 5.443 5.443 5.443
angles (deg): 60.00 60.00 60.00
Sites, in units of the cell vectors:
Sr (0.250, 0.250, 0.250)
Sr (0.750, 0.750, 0.750)
Pd (0.500, 0.500, 0.500)
Ti (0.000, 0.000, 0.000)


Compound: NaAl3Ga3
Source: Alexandria
Functional: PBE
Structure: optimized geometry

## Properties
- Density of states at the Fermi level: 0.7748 states/eV/atom
- Energy relative to the lowest polymorph listed for this composition: 17.1 meV/atom
- Electronic total energy: -2.796 eV/atom
- Energy relative to the elements: 0.293 eV/atom

a b c (Å): 8.683 8.683 8.683
angles (deg): 60.00 60.00 60.00
Sites, in units of the cell vectors:
Na (0.250, 0.250, 0.250)
Na (0.750, 0.750, 0.750)
Al (0.153, 0.847, 0.847)
Al (0.153, 0.847, 0.153)
Al (0.153, 0.153, 0.847)
Al (0.847, 0.153, 0.847)
Al (0.847, 0.153, 0.153)
Al (0.847, 0.847, 0.153)
Ga (0.350, 0.650, 0.350)
Ga (0.350, 0.650, 0.650)
Ga (0.350, 0.350, 0.650)
Ga (0.650, 0.350, 0.650)
Ga (0.650, 0.350, 0.350)
Ga (0.650, 0.650, 0.350)


Compound: Pr2Rh2Au
Source: Alexandria
Functional: PBE
Structure: optimized geometry

## Properties
- Density of states at the Fermi level: 0.5269 states/eV/atom
- Energy relative to the lowest polymorph listed for this composition: 4.2 meV/atom
- Electronic total energy: -6.180 eV/atom
- Energy relative to the elements: -0.672 eV/atom

a b c (Å): 3.958 7.516 7.516
angles (deg): 90.00 90.00 90.00
Sites, in units of the cell vectors:
Pr (0.500, 0.174, 0.674)
Pr (0.500, 0.674, 0.826)
Pr (0.500, 0.826, 0.326)
Pr (0.500, 0.326, 0.174)
Rh (0.000, 0.369, 0.869)
Rh (0.000, 0.869, 0.631)
Rh (0.000, 0.631, 0.131)
Rh (0.000, 0.131, 0.369)
Au (0.000, 0.000, 0.000)
Au (0.000, 0.500, 0.500)


Compound: Tb6OsPt3
Source: Alexandria
Functional: PBE
Structure: optimized geometry

## Properties
- Density of states at the Fermi level: 0.7327 states/eV/atom
- Electronic total energy: -6.436 eV/atom
- Energy relative to the elements: -0.723 eV/atom

a b c (Å): 4.861 8.271 12.120
angles (deg): 90.00 90.00 90.00
Sites, in units of the cell vectors:
Tb (0.500, 0.150, 0.908)
Tb (0.500, 0.177, 0.575)
Tb (0.500, 0.499, 0.244)
Tb (0.500, 0.501, 0.756)
Tb (0.500, 0.823, 0.425)
Tb (0.500, 0.850, 0.092)
Tb (0.000, 0.350, 0.408)
Tb (0.000, 0.323, 0.075)
Tb (0.000, 0.001, 0.744)
Tb (0.000, 0.999, 0.256)
Tb (0.000, 0.677, 0.925)
Tb (0.000, 0.650, 0.592)
Os (0.500, 0.500, 0.500)
Os (0.000, 0.000, 0.000)
Pt (0.500, 0.833, 0.671)
Pt (0.500, 0.500, 0.000)
Pt (0.500, 0.167, 0.329)
Pt (0.000, 0.667, 0.171)
Pt (0.000, 0.000, 0.500)
Pt (0.000, 0.333, 0.829)


Compound: AlCr3W
Source: Alexandria
Functional: PBE
Structure: optimized geometry

## Properties
- Density of states at the Fermi level: 0.4741 states/eV/atom
- Energy relative to the lowest polymorph listed for this composition: 0.0 meV/atom
- Electronic total energy: -7.611 eV/atom
- Energy relative to the elements: 1.502 eV/atom

a b c (Å): 4.640 4.640 4.640
angles (deg): 90.00 90.00 90.00
Last column: magnetic moment on the atom in μB.
Sites, in units of the cell vectors:
Cr (0.000, 0.500, 0.000)  2.56
Cr (0.000, 0.000, 0.500)  2.34
Cr (0.500, 0.000, 0.000)  2.88
Al (0.500, 0.500, 0.500)  -0.10
W (0.000, 0.000, 0.000)  -0.86


Compound: Nd8PS6
Source: Alexandria
Functional: PBE
Structure: optimized geometry

## Properties
- Density of states at the Fermi level: 0.5640 states/eV/atom
- Raw formation energy: -1.53 eV per atom
- Electronic total energy: -6.082 eV/atom

a b c (Å): 4.177 10.300 10.300
angles (deg): 120.00 90.00 90.00
Sites, in units of the cell vectors:
Nd (0.741, 0.969, 0.290)
Nd (0.741, 0.710, 0.679)
Nd (0.741, 0.321, 0.031)
Nd (0.259, 0.031, 0.710)
Nd (0.259, 0.290, 0.321)
Nd (0.259, 0.679, 0.969)
Nd (0.747, 0.333, 0.667)
Nd (0.253, 0.667, 0.333)
P (0.500, 0.000, 0.000)
S (0.754, 0.651, 0.132)
S (0.754, 0.868, 0.519)
S (0.754, 0.481, 0.349)
S (0.246, 0.349, 0.868)
S (0.246, 0.132, 0.481)
S (0.246, 0.519, 0.651)


Compound: HfMg2Ga
Source: Alexandria
Functional: PBE
Structure: optimized geometry

## Properties
- Density of states at the Fermi level: 0.5376 states/eV/atom
- Electronic total energy: -3.844 eV/atom
- Energy relative to the elements: 0.198 eV/atom

a b c (Å): 3.064 3.064 10.704
angles (deg): 81.77 81.77 60.00
Sites, in units of the cell vectors:
Mg (0.095, 0.095, 0.715)
Mg (0.905, 0.905, 0.285)
Hf (0.000, 0.000, 0.000)
Ga (0.500, 0.500, 0.500)